1.
Computed, not measured: KMg14Mn after structural relaxation at the PBE level of DFT. Values from VASP.

Summary:
Total magnetic moment: 3.90 μB/f.u.
Calculated volume: 381.7 Å³/cell
Relative energy among the computed polymorphs: 9 meV per atom

Cell and atoms, written as Quantum ESPRESSO input:
```
&SYSTEM
  ibrav = 0, nat = 16, ntyp = 3
/
ATOMIC_SPECIES
K 39.10 K.upf
Mg 24.30 Mg.upf
Mn 54.94 Mn.upf
CELL_PARAMETERS angstrom
10.520 0.000 0.000
0.000 3.212 5.648
0.000 -3.212 5.648
ATOMIC_POSITIONS crystal
K 0.000 0.000 0.000
Mg 0.000 0.004 0.495
Mg 0.000 0.495 0.004
Mg 0.232 0.648 0.648
Mg 0.253 0.159 0.644
Mg 0.253 0.644 0.159
Mg 0.263 0.157 0.157
Mg 0.500 0.488 0.488
Mg 0.500 0.492 0.982
Mg 0.500 0.982 0.492
Mg 0.500 0.986 0.986
Mg 0.737 0.157 0.157
Mg 0.747 0.159 0.644
Mg 0.747 0.644 0.159
Mg 0.768 0.648 0.648
Mn 0.000 0.479 0.479
```



2.
Computed, not measured: KMgMn2 after structural relaxation at the PBE level of DFT. Values from VASP.

Summary:
Energy: -16.97 eV per cell
Total magnetic moment: 8.21 μB/f.u.
Calculated volume: 99.2 Å³/cell

Cell and atoms, written as Quantum ESPRESSO input:
```
&SYSTEM
  ibrav = 0, nat = 4, ntyp = 3
/
ATOMIC_SPECIES
K 39.10 K.upf
Mg 24.30 Mg.upf
Mn 54.94 Mn.upf
CELL_PARAMETERS angstrom
4.578 0.000 0.000
0.000 4.578 0.000
0.000 0.000 4.733
ATOMIC_POSITIONS crystal
K 0.000 0.000 0.000
Mg 0.500 0.500 0.000
Mn 0.000 0.500 0.500
Mn 0.500 0.000 0.500
```



3.
Computed, not measured: KMgMn2 after structural relaxation at the PBE level of DFT. Values from VASP.

Summary:
Energy: -18.12 eV per cell
Total magnetic moment: 7.93 μB/f.u.
Calculated volume: 99.9 Å³/cell

Cell and atoms, written as Quantum ESPRESSO input:
```
&SYSTEM
  ibrav = 0, nat = 4, ntyp = 3
/
ATOMIC_SPECIES
K 39.10 K.upf
Mg 24.30 Mg.upf
Mn 54.94 Mn.upf
CELL_PARAMETERS angstrom
3.435 0.000 0.000
0.000 3.435 0.000
0.000 0.000 8.466
ATOMIC_POSITIONS crystal
K 0.000 0.000 0.000
Mg 0.000 0.000 0.500
Mn 0.500 0.500 0.334
Mn 0.500 0.500 0.666
```